This record from Alexandria via LeMat-Bulk describes Cs2KAu after structural relaxation. The functional is PBE.

Calculated values
Calculated formation energy: -167.0 meV per atom
Magnetic moment: 0.00 μB per cell
D(E_F): 2.51 states/eV/cell
Relative energy among the computed polymorphs: 4.2 meV/atom

Unit cell a=4.515 b=4.515 c=12.267 alpha=90.00 beta=90.00 gamma=90.00
Space group P4/mmm (No. 123)
One atom of each set of equivalent atoms:
Cs 0.000 0.000 0.168 [2 per cell]
K 0.500 0.500 0.500 [1 per cell]
Au 0.500 0.500 0.000 [1 per cell]

This record from Alexandria via LeMat-Bulk describes KSb2TeW after structural relaxation. The functional is PBE.

Calculated values
Magnetic moment: 0.00 μB per cell
D(E_F): 4.83 states/eV/cell
Relative energy among the computed polymorphs: 0.0 meV/atom
Raw formation energy: 244.1 meV per atom

Unit cell a=5.307 b=5.307 c=5.636 alpha=90.00 beta=90.00 gamma=90.00
Space group P4/mmm (No. 123)
One atom of each set of equivalent atoms:
K 0.000 0.000 0.000 [1 per cell]
Sb 0.000 0.500 0.500 [2 per cell]
Te 0.500 0.500 0.000 [1 per cell]
W 0.500 0.500 0.500 [1 per cell]

This record from Alexandria via LeMat-Bulk describes DyBe4Pd8 after structural relaxation. The functional is PBE.

Calculated values
Calculated formation energy: -543.7 meV per atom
Magnetic moment: 0.00 μB per cell
D(E_F): 11.04 states/eV/cell

Unit cell a=8.442 b=8.442 c=5.111 alpha=90.00 beta=90.00 gamma=90.00
Space group I4/mmm (No. 139)
One atom of each set of equivalent atoms:
Dy 0.000 0.000 0.000 [2 per cell]
Be 0.250 0.250 0.250 [8 per cell]
Pd 0.000 0.225 0.500 [8 per cell]
Pd 0.000 0.333 0.000 [8 per cell]

This record from Alexandria via LeMat-Bulk describes TaTeMo2 after structural relaxation. The functional is PBE.

Calculated values
Magnetic moment: 0.00 μB per cell
D(E_F): 8.94 states/eV/cell
Raw formation energy: 362.5 meV per atom

Unit cell a=3.2067 b=3.2067 c=25.0241 alpha=90.00 beta=90.00 gamma=120.00
Space group R-3m (No. 166, hexagonal axes)
One atom of each set of equivalent atoms:
Ta 0.0000 0.0000 0.0000 [3 per cell]
Te 0.0000 0.0000 0.5000 [3 per cell]
Mo 0.0000 0.0000 0.2535 [6 per cell]

This record from Alexandria via LeMat-Bulk describes Nd6SbAs3S2 after structural relaxation. The functional is PBE.

Calculated values
Magnetic moment: 0.00 μB per cell
D(E_F): 8.00 states/eV/cell
Raw formation energy: -1628.6 meV per atom

Unit cell a=18.550 b=4.264 c=8.519 alpha=90.00 beta=103.29 gamma=90.00
Space group C2/m (No. 12)
One atom of each set of equivalent atoms:
Nd 0.002 0.000 0.263 [4 per cell]
Nd 0.167 0.500 0.584 [4 per cell]
Nd 0.172 0.500 0.086 [4 per cell]
Sb 0.000 0.500 0.000 [2 per cell]
As 0.000 0.500 0.500 [2 per cell]
As 0.165 0.000 0.831 [4 per cell]
S 0.169 0.000 0.337 [4 per cell]

This record from Alexandria via LeMat-Bulk describes Tb2PmPr2Y after structural relaxation. The functional is PBE.

Calculated values
Calculated formation energy: 55.7 meV per atom
Magnetic moment: 0.00 μB per cell
D(E_F): 19.00 states/eV/cell

Unit cell a=7.119 b=5.729 c=9.918 alpha=90.00 beta=90.00 gamma=90.00
Space group Pmma (No. 51)
One atom of each set of equivalent atoms:
Tb 0.250 0.000 0.165 [2 per cell]
Tb 0.250 0.500 0.668 [2 per cell]
Pm 0.250 0.500 0.340 [2 per cell]
Pr 0.000 0.500 0.000 [2 per cell]
Pr 0.250 0.000 0.825 [2 per cell]
Y 0.000 0.000 0.500 [2 per cell]

This record from Alexandria via LeMat-Bulk describes Ac3In2Ag4 after structural relaxation. The functional is PBE.

Calculated values
Calculated formation energy: -354.3 meV per atom
Magnetic moment: 0.00 μB per cell
D(E_F): 13.69 states/eV/cell

Unit cell a=11.837 b=4.955 c=9.494 alpha=90.00 beta=113.88 gamma=90.00
Space group C2/m (No. 12)
One atom of each set of equivalent atoms:
Ac 0.000 0.000 0.000 [2 per cell]
Ac 0.150 0.500 0.682 [4 per cell]
In 0.140 0.500 0.306 [4 per cell]
Ag 0.082 0.000 0.415 [4 per cell]
Ag 0.220 0.500 0.055 [4 per cell]

This record from Alexandria via LeMat-Bulk describes CdAgOs3 after structural relaxation. The functional is PBE.

Calculated values
Calculated formation energy: 2899.5 meV per atom
Magnetic moment: 5.88 μB per cell
D(E_F): 3.72 states/eV/cell
Relative energy among the computed polymorphs: 0.0 meV/atom

Unit cell a=4.830 b=4.830 c=4.830 alpha=90.00 beta=90.00 gamma=90.00
Space group Pm-3m (No. 221)
One atom of each set of equivalent atoms:
Cd 0.000 0.000 0.000 [1 per cell]
Ag 0.500 0.500 0.500 [1 per cell]
Os 0.000 0.500 0.500 [3 per cell]

This record from Alexandria via LeMat-Bulk describes Pm8AsSe6 after structural relaxation. The functional is PBE.

Calculated values
Magnetic moment: 0.00 μB per cell
D(E_F): 9.00 states/eV/cell
Raw formation energy: -1393.4 meV per atom

Unit cell a=10.5718 b=10.5718 c=4.2648 alpha=90.00 beta=90.00 gamma=120.00
Space group P-3 (No. 147)
One atom of each set of equivalent atoms:
Pm 0.0308 0.7190 0.2599 [6 per cell]
Pm 0.3333 0.6667 0.7461 [2 per cell]
As 0.0000 0.0000 0.5000 [1 per cell]
Se 0.1287 0.4799 0.2461 [6 per cell]

This record from Alexandria via LeMat-Bulk describes Li3CaAg4 after structural relaxation. The functional is PBE.

Calculated values
Calculated formation energy: -203.1 meV per atom
Magnetic moment: 0.00 μB per cell
D(E_F): 5.29 states/eV/cell

Unit cell a=9.355 b=6.768 c=4.814 alpha=90.00 beta=90.00 gamma=90.00
Space group Pmma (No. 51)
One atom of each set of equivalent atoms:
Li 0.000 0.000 0.000 [2 per cell]
Li 0.250 0.000 0.407 [2 per cell]
Li 0.250 0.500 0.469 [2 per cell]
Ca 0.000 0.500 0.000 [2 per cell]
Ag 0.000 0.217 0.500 [4 per cell]
Ag 0.250 0.214 0.900 [4 per cell]

This record from Alexandria via LeMat-Bulk describes La2TmMg2 after structural relaxation. The functional is PBE.

Calculated values
Calculated formation energy: -47.5 meV per atom
Magnetic moment: 0.00 μB per cell
D(E_F): 12.38 states/eV/cell

Unit cell a=3.816 b=5.535 c=14.592 alpha=90.00 beta=97.52 gamma=90.00
Space group P2_1/m (No. 11)
One atom of each set of equivalent atoms:
La 0.043 0.250 0.085 [2 per cell]
La 0.235 0.250 0.472 [2 per cell]
Tm 0.153 0.750 0.303 [2 per cell]
Mg 0.361 0.750 0.723 [2 per cell]
Mg 0.440 0.250 0.881 [2 per cell]

This record from Alexandria via LeMat-Bulk describes TcSeSN2 after structural relaxation. The functional is PBE.

Calculated values
Magnetic moment: 3.93 μB per cell
D(E_F): 2.30 states/eV/cell
Relative energy among the computed polymorphs: 1048.7 meV/atom
Raw formation energy: 1776.2 meV per atom

Unit cell a=3.646 b=3.646 c=6.223 alpha=90.00 beta=90.00 gamma=90.00
Space group P4/mmm (No. 123)
One atom of each set of equivalent atoms:
Tc 0.000 0.000 0.000 [1 per cell]
Se 0.500 0.500 0.500 [1 per cell]
S 0.500 0.500 0.000 [1 per cell]
N 0.000 0.500 0.500 [2 per cell]

This record from Alexandria via LeMat-Bulk describes UInPt6 after structural relaxation. The functional is PBE.

Calculated values
Calculated formation energy: -604.9 meV per atom
Magnetic moment: 0.98 μB per cell
D(E_F): 7.93 states/eV/cell
Relative energy among the computed polymorphs: 0.0 meV/atom

Unit cell a=4.110 b=4.110 c=8.174 alpha=90.00 beta=90.00 gamma=90.00
Space group P4/mmm (No. 123)
One atom of each set of equivalent atoms:
U 0.000 0.000 0.000 [1 per cell]
In 0.000 0.000 0.500 [1 per cell]
Pt 0.000 0.500 0.247 [4 per cell]
Pt 0.500 0.500 0.000 [1 per cell]
Pt 0.500 0.500 0.500 [1 per cell]

This record from Alexandria via LeMat-Bulk describes GePdF2 after structural relaxation. The functional is PBE.

Calculated values
Magnetic moment: 0.00 μB per cell
D(E_F): 2.87 states/eV/cell
Relative energy among the computed polymorphs: 94.2 meV/atom
Raw formation energy: -963.6 meV per atom

Unit cell a=2.8948 b=2.8948 c=23.2893 alpha=90.00 beta=90.00 gamma=120.00
Space group R-3m (No. 166, hexagonal axes)
One atom of each set of equivalent atoms:
Ge 0.0000 0.0000 0.0000 [3 per cell]
Pd 0.0000 0.0000 0.5000 [3 per cell]
F 0.0000 0.0000 0.4123 [6 per cell]

This record from Alexandria via LeMat-Bulk describes DyTc after structural relaxation. The functional is PBE.

Calculated values
Calculated formation energy: 14.7 meV per atom
Magnetic moment: 0.00 μB per cell
D(E_F): 4.63 states/eV/cell

Unit cell a=4.573 b=4.010 c=5.649 alpha=90.00 beta=113.71 gamma=90.00
Space group P2_1/m (No. 11)
One atom of each set of equivalent atoms:
Dy 0.142 0.250 0.287 [2 per cell]
Tc 0.442 0.250 0.880 [2 per cell]

This record from Alexandria via LeMat-Bulk describes Dy12TlRu5 after structural relaxation. The functional is PBE.

Calculated values
Calculated formation energy: -350.2 meV per atom
Magnetic moment: 0.00 μB per cell
D(E_F): 30.03 states/eV/cell

Unit cell a=9.302 b=9.598 c=10.202 alpha=90.00 beta=90.00 gamma=90.00
Space group Immm (No. 71)
One atom of each set of equivalent atoms:
Dy 0.000 0.192 0.234 [8 per cell]
Dy 0.186 0.500 0.173 [8 per cell]
Dy 0.230 0.324 0.500 [8 per cell]
Tl 0.000 0.000 0.500 [2 per cell]
Ru 0.000 0.000 0.000 [2 per cell]
Ru 0.000 0.335 0.000 [4 per cell]
Ru 0.000 0.500 0.378 [4 per cell]

This record from Alexandria via LeMat-Bulk describes SrNpCoN3 after structural relaxation. The functional is PBE.

Calculated values
Magnetic moment: 4.61 μB per cell
D(E_F): 15.17 states/eV/cell
Raw formation energy: -717.3 meV per atom

Unit cell a=7.272 b=3.466 c=7.482 alpha=90.00 beta=101.62 gamma=90.00
Space group P2_1/m (No. 11)
One atom of each set of equivalent atoms:
Sr 0.182 0.250 0.214 [2 per cell]
Np 0.339 0.750 0.833 [2 per cell]
Co 0.074 0.250 0.597 [2 per cell]
N 0.150 0.250 0.858 [2 per cell]
N 0.171 0.750 0.538 [2 per cell]
N 0.449 0.750 0.138 [2 per cell]

This record from Alexandria via LeMat-Bulk describes Dy3CuSi3 after structural relaxation. The functional is PBE.

Calculated values
Magnetic moment: 0.00 μB per cell
D(E_F): 11.48 states/eV/cell
Raw formation energy: -715.5 meV per atom

Unit cell a=3.909 b=4.194 c=17.608 alpha=90.00 beta=90.00 gamma=90.00
Space group Imm2 (No. 44)
One atom of each set of equivalent atoms:
Dy 0.000 0.000 0.000 [2 per cell]
Dy 0.000 0.000 0.368 [2 per cell]
Dy 0.000 0.500 0.685 [2 per cell]
Cu 0.000 0.500 0.117 [2 per cell]
Si 0.000 0.000 0.542 [2 per cell]
Si 0.000 0.000 0.829 [2 per cell]
Si 0.000 0.500 0.246 [2 per cell]

This record from Alexandria via LeMat-Bulk describes LiScPt2 after structural relaxation. The functional is PBE.

Calculated values
Calculated formation energy: -677.9 meV per atom
Magnetic moment: 0.00 μB per cell
D(E_F): 2.11 states/eV/cell
Relative energy among the computed polymorphs: 324.8 meV/atom

Unit cell a=6.941 b=6.941 c=5.582 alpha=90.00 beta=90.00 gamma=90.00
Space group I-42d (No. 122)
One atom of each set of equivalent atoms:
Li 0.000 0.000 0.000 [4 per cell]
Sc 0.000 0.000 0.500 [4 per cell]
Pt 0.236 0.250 0.125 [8 per cell]

This record from Alexandria via LeMat-Bulk describes Bi2Te2O after structural relaxation. The functional is PBE.

Calculated values
Magnetic moment: 0.00 μB per cell
D(E_F): 1.36 states/eV/cell
Relative energy among the computed polymorphs: 31.6 meV/atom
Raw formation energy: -429.5 meV per atom

Unit cell a=7.382 b=12.467 c=6.140 alpha=90.00 beta=90.00 gamma=90.00
Space group Ibam (No. 72)
One atom of each set of equivalent atoms:
Bi 0.207 0.085 0.000 [8 per cell]
Te 0.147 0.360 0.000 [8 per cell]
O 0.000 0.000 0.250 [4 per cell]

This record from Alexandria via LeMat-Bulk describes Ga2Ni2Pd after structural relaxation. The functional is PBE.

Calculated values
Calculated formation energy: -268.8 meV per atom
Magnetic moment: 0.00 μB per cell
D(E_F): 3.54 states/eV/cell
Relative energy among the computed polymorphs: 121.8 meV/atom

Unit cell a=4.1077 b=4.1077 c=4.9775 alpha=90.00 beta=90.00 gamma=120.00
Space group P-3m1 (No. 164)
One atom of each set of equivalent atoms:
Ga 0.3333 0.6667 0.2084 [2 per cell]
Ni 0.3333 0.6667 0.6821 [2 per cell]
Pd 0.0000 0.0000 0.0000 [1 per cell]

This record from Alexandria via LeMat-Bulk describes RbAgBiO2 after structural relaxation. The functional is PBE.

Calculated values
Magnetic moment: 0.00 μB per cell
D(E_F): 2.76 states/eV/cell
Raw formation energy: -652.4 meV per atom

Unit cell a=6.699 b=4.885 c=7.317 alpha=90.00 beta=99.03 gamma=90.00
Space group P2/c (No. 13)
One atom of each set of equivalent atoms:
Rb 0.000 0.215 0.250 [2 per cell]
Ag 0.500 0.000 0.000 [2 per cell]
Bi 0.500 0.483 0.750 [2 per cell]
O 0.290 0.338 0.974 [4 per cell]

This record from Alexandria via LeMat-Bulk describes Y2IrOs3 after structural relaxation. The functional is PBE.

Calculated values
Calculated formation energy: -408.4 meV per atom
Magnetic moment: 0.00 μB per cell
D(E_F): 16.36 states/eV/cell

Unit cell a=5.2677 b=5.2677 c=13.6252 alpha=90.00 beta=90.00 gamma=120.00
Space group R-3m (No. 166, hexagonal axes)
One atom of each set of equivalent atoms:
Y 0.0000 0.0000 0.1231 [6 per cell]
Ir 0.0000 0.0000 0.5000 [3 per cell]
Os 0.0000 0.5000 0.0000 [9 per cell]

This record from Alexandria via LeMat-Bulk describes NaBi2TeO6 after structural relaxation. The functional is PBE.

Calculated values
Magnetic moment: 3.04 μB per cell
D(E_F): 3.91 states/eV/cell
Raw formation energy: -1186.1 meV per atom

Unit cell a=6.0000 b=6.0000 c=14.8113 alpha=90.00 beta=90.00 gamma=120.00
Space group R3 (No. 146, hexagonal axes)
One atom of each set of equivalent atoms:
Na 0.0000 0.0000 0.0000 [3 per cell]
Bi 0.0000 0.0000 0.2695 [3 per cell]
Bi 0.0000 0.0000 0.7777 [3 per cell]
Te 0.0000 0.0000 0.4808 [3 per cell]
O 0.0607 0.3510 0.5448 [9 per cell]
O 0.0893 0.6891 0.0577 [9 per cell]